No. 1
Density functional theory data (PBEsol) for a geometry-optimized HfTcF2 structure.

Density of states at the Fermi level: 2.89 states/eV per cell
Energy relative to the elements, uncorrected: -0.735 eV per atom
Magnetization: 0.0 μB/cell
Space group: No. 166

Cell: 3.9480 3.9480 4.6307 Å, 64.77 64.77 60.00°
Closest atoms and distances in Å follow each position.
Fractional positions:
Hf 0.0000 0.0000 0.0000  2 F 2.08
Tc 0.5000 0.5000 0.5000  6 F 2.28
F 0.8281 0.8281 0.5158  1 Hf 2.08, 3 Tc 2.28, 3 F 2.28
F 0.1719 0.1719 0.4842  1 Hf 2.08, 3 Tc 2.28, 3 F 2.28

=====

No. 2
Density functional theory data (PBEsol) for a geometry-optimized TaBe2Sb structure.

Density of states at the Fermi level: 1.70 states/eV per cell
Energy relative to the elements, uncorrected: 0.300 eV per atom
Magnetization: 0.0 μB/cell
Space group: No. 99

Cell: 3.3985 3.3985 5.1761 Å, 90.00 90.00 90.00°
Closest atoms and distances in Å follow each position.
Fractional positions:
Sb 0.0000 0.0000 0.5104  6 Be 2.49-2.73, 4 Ta 2.79
Ta 0.5000 0.5000 0.2373  6 Be 2.47-2.72
Be 0.0000 0.0000 0.9920  2 Sb 2.49-2.68, 4 Be 2.69, 4 Ta 2.72
Be 0.5000 0.5000 0.7603  2 Ta 2.47-2.71, 4 Be 2.69, 4 Sb 2.73

=====

No. 3
Density functional theory data (PBEsol) for a geometry-optimized Lu6GaNi2 structure.

Density of states at the Fermi level: 14.05 states/eV per cell
Total DFT energy (no corrections): -48.7 eV per formula unit
Magnetization: 0.0 μB/cell
Space group: No. 71

Cell: 7.9805 7.9805 7.9805 Å, 73.76 69.94 112.16°
Closest atoms and distances in Å follow each position.
Fractional positions:
Lu 0.8027 0.2375 0.9598  1 Ni 2.66, 1 Ga 2.90
Lu 0.1973 0.7625 0.0402  1 Ni 2.66, 1 Ga 2.90
Lu 0.1973 0.2375 0.5652  1 Ni 2.66, 1 Ga 2.90
Lu 0.8027 0.7625 0.4348  1 Ni 2.66, 1 Ga 2.90
Lu 0.5355 0.7166 0.1811  3 Ni 2.80-2.95, 1 Ga 3.02
Lu 0.4645 0.2834 0.8189  3 Ni 2.80-2.95, 1 Ga 3.02
Lu 0.1023 0.2834 0.1811  3 Ni 2.80-2.95, 1 Ga 3.02
Lu 0.8977 0.7166 0.8189  3 Ni 2.80-2.95, 1 Ga 3.02
Lu 0.6952 0.0219 0.6733  3 Ni 2.61-2.78
Lu 0.3048 0.9781 0.3267  3 Ni 2.61-2.78
Lu 0.3048 0.6315 0.6733  3 Ni 2.61-2.78
Lu 0.6952 0.3685 0.3267  3 Ni 2.61-2.78
Ga 0.0000 0.5000 0.5000  8 Lu 3.09-3.18
Ga 0.0000 0.0000 0.0000  8 Lu 2.90-3.02, 2 Ni 3.18
Ni 0.6529 0.0000 0.3471  8 Lu 2.66-2.95, 1 Ni 2.80
Ni 0.3471 0.0000 0.6529  8 Lu 2.66-2.95, 1 Ni 2.80
Ni 0.5000 0.6230 0.8770  1 Ni 2.36, 2 Lu 2.61
Ni 0.5000 0.3770 0.1230  1 Ni 2.36, 2 Lu 2.61

=====

No. 4
Density functional theory data (PBEsol) for a geometry-optimized CaCuTc2 structure.

Density of states at the Fermi level: 3.41 states/eV per cell
Total DFT energy (no corrections): -26.7 eV per formula unit
Magnetization: 0.0 μB/cell
Space group: No. 12

Cell: 2.5843 5.1388 5.4196 Å, 115.22 98.23 101.60°
Closest atoms and distances in Å follow each position.
Fractional positions:
Ca 0.5000 0.0000 0.0000  2 Ca 2.58, 2 Cu 2.63, 4 Tc 2.83
Cu 0.0000 0.5000 0.0000  2 Cu 2.58, 2 Ca 2.63, 4 Tc 2.83
Tc 0.0000 0.0000 0.5000  4 Tc 2.58-2.63, 2 Cu 2.83, 2 Ca 2.83
Tc 0.5000 0.5000 0.5000  4 Tc 2.58-2.63, 2 Ca 2.83, 2 Cu 2.83

=====

No. 5
Density functional theory data (PBEsol) for a geometry-optimized LiIrRh2 structure.

Density of states at the Fermi level: 3.92 states/eV per cell
Total DFT energy (no corrections): -28.2 eV per formula unit
Magnetization: 0.0 μB/cell
Space group: No. 139

Cell: 3.7349 3.7349 4.5637 Å, 114.15 114.15 90.00°
Closest atoms and distances in Å follow each position.
Fractional positions:
Ir 0.5000 0.5000 0.0000  8 Rh 2.64, 4 Li 2.64
Rh 0.7500 0.2500 0.5000  4 Li 2.64, 4 Ir 2.64, 4 Rh 2.64
Rh 0.2500 0.7500 0.5000  4 Li 2.64, 4 Ir 2.64, 4 Rh 2.64
Li 0.0000 0.0000 0.0000  8 Rh 2.64, 4 Ir 2.64

=====

No. 6
Density functional theory data (PBEsol) for a geometry-optimized IrAu structure.

Density of states at the Fermi level: 3.43 states/eV per cell
Total DFT energy (no corrections): -9.9 eV per formula unit
Magnetization: 1.5 μB/cell
Space group: No. 216

Cell: 4.0730 4.0730 4.0730 Å, 60.00 60.00 60.00°
Closest atoms and distances in Å follow each position.
Fractional positions:
Ir 0.7500 0.7500 0.7500  4 Au 2.49
Au 0.0000 0.0000 0.0000  4 Ir 2.49

=====

No. 7
Density functional theory data (PBEsol) for a geometry-optimized ZnNiIr2 structure.

Density of states at the Fermi level: 3.53 states/eV per cell
Total DFT energy (no corrections): -27.6 eV per formula unit
Magnetization: 0.0 μB/cell
Space group: No. 160

Cell: 2.6803 2.6803 8.5387 Å, 80.97 80.97 60.00°
Closest atoms and distances in Å follow each position.
Fractional positions:
Ni 0.5010 0.5010 0.4969  3 Zn 2.51, 3 Ir 2.55, 6 Ni 2.68
Zn 0.2459 0.2459 0.2622  3 Ni 2.51, 3 Ir 2.68, 6 Zn 2.68
Ir 0.9993 0.9993 0.0020  3 Zn 2.68, 9 Ir 2.68-2.70
Ir 0.7537 0.7537 0.7389  3 Ni 2.55, 9 Ir 2.68-2.70

=====

No. 8
Density functional theory data (PBEsol) for a geometry-optimized La2TcNiPd structure.

Density of states at the Fermi level: 5.04 states/eV per cell
Total DFT energy (no corrections): -32.3 eV per formula unit
Magnetization: 0.0 μB/cell
Space group: No. 123

Cell: 4.2745 5.3564 5.3564 Å, 90.00 90.00 90.00°
Closest atoms and distances in Å follow each position.
Fractional positions:
Ni 0.0000 0.0000 0.0000  2 Tc 2.14
Tc 0.5000 0.0000 0.0000  2 Ni 2.14
Pd 0.5000 0.5000 0.5000  8 La 3.43, 4 Tc 3.79
La 0.0000 0.0000 0.5000  2 Ni 2.68
La 0.0000 0.5000 0.0000  2 Ni 2.68